# VClF2, optimized geometry, DFT PBE with a Hubbard U
# - Energy relative to the lowest polymorph listed for this composition: 0.002 eV/atom
# - Spin magnetization: 7.8 Bohr magnetons per cell
# - E: -5.006 eV/atom
# - Density of states at the Fermi level: 2.97 states/eV/f.u.
data_VClF2
_space_group_name_H-M_alt 'I 41/a m d'
_space_group_IT_number 141
_cell_length_a 6.064
_cell_length_b 6.064
_cell_length_c 9.150
_cell_angle_alpha 90.00
_cell_angle_beta 90.00
_cell_angle_gamma 90.00
loop_
_space_group_symop_operation_xyz
'x,y,z'
'-x,-y,-z'
'-y+1/4,x+3/4,z+1/4'
'y+1/4,-x+3/4,-z+1/4'
'-x+1/2,-y,z+1/2'
'x+1/2,y,-z+1/2'
'y+1/4,-x+1/4,z+3/4'
'-y+1/4,x+1/4,-z+3/4'
'x,-y,-z'
'-x,y,z'
'-y+1/4,-x+1/4,-z+3/4'
'y+1/4,x+1/4,z+3/4'
'-x+1/2,y,-z+1/2'
'x+1/2,-y,z+1/2'
'y+1/4,x+3/4,-z+1/4'
'-y+1/4,-x+3/4,z+1/4'
'x+1/2,y+1/2,z+1/2'
'-x+1/2,-y+1/2,-z+1/2'
'-y+3/4,x+1/4,z+3/4'
'y+3/4,-x+1/4,-z+3/4'
'-x,-y+1/2,z'
'x,y+1/2,-z'
'y+3/4,-x+3/4,z+1/4'
'-y+3/4,x+3/4,-z+1/4'
'x+1/2,-y+1/2,-z+1/2'
'-x+1/2,y+1/2,z+1/2'
'-y+3/4,-x+3/4,-z+1/4'
'y+3/4,x+3/4,z+1/4'
'-x,y+1/2,-z'
'x,-y+1/2,z'
'y+3/4,x+1/4,-z+3/4'
'-y+3/4,-x+1/4,z+3/4'
loop_
_atom_site_label
_atom_site_type_symbol
_atom_site_fract_x
_atom_site_fract_y
_atom_site_fract_z
_atom_site_occupancy
V1 V 0.000 0.250 0.375 1
Cl1 Cl 0.000 0.250 0.875 1
F1 F 0.000 0.000 0.500 1